LiDyTc2O8 | PBE-GGA | relaxed

a = 5.160 Å, b = 5.160 Å, c = 6.739 Å
α = 112.51°, β = 112.51°, γ = 90.00°
Last column: magnetic moment on the atom in μB.
Fractional coordinates of all 12 atoms:
O 0.418 0.326 0.160  0.05
O 0.166 0.582 0.840  0.05
O 0.011 0.415 0.331  0.04
O 0.585 0.679 0.669  0.04
O 0.084 0.989 0.669  0.04
O 0.743 0.834 0.160  0.05
O 0.674 0.257 0.840  0.05
O 0.321 0.916 0.331  0.04
Dy 0.000 0.000 0.000  0.08
Li 0.750 0.250 0.500  0.01
Tc 0.250 0.750 0.500  0.64
Tc 0.500 0.500 0.000  0.72

Formation energy (no corrections) in eV/atom: -1.893
E in eV/atom: -7.4691
Calculated volume in Å³/f.u.: 150.8